ZnBrN2F | PBE | relaxed

abc: 3.761 3.761 5.127
angles: 90.00 90.00 90.00
Last column: magnetic moment on the atom in μB.
Element x y z (fractional)
Zn  0.500  0.500  0.500  -0.01
N  0.000  0.500  0.000  0.13
N  0.500  0.000  0.000  0.13
Br  0.000  0.000  0.000  0.00
F  0.000  0.000  0.500  -0.01

## Properties
Total magnetic moment in μB/f.u.: 0.31
Energy above the most stable polymorph in this dataset in meV per atom: 437
Energy relative to the elements, uncorrected in eV/atom: 1.5778
Space group: P4/mmm
ρ in g cm⁻³: 4.4

HfInSi2Hg | PBE | relaxed

abc: 4.959 5.524 4.959
angles: 90.00 90.00 90.00
Element x y z (fractional)
Si  0.000  0.000  0.500
Si  0.500  0.000  0.000
Hf  0.000  0.500  0.000
Hg  0.500  0.500  0.500
In  0.000  0.000  0.000

## Properties
Total magnetic moment in μB/f.u.: 0.00
Energy relative to the elements, uncorrected in eV/atom: 1.2337
Space group: P4/mmm
ρ in g cm⁻³: 6.7

Ta2FePt | PBE | relaxed

abc: 6.969 6.969 5.633
angles: 51.79 51.79 90.00
Element x y z (fractional)
Fe  0.500  0.500  0.000
Fe  0.250  0.750  0.500
Pt  0.000  0.000  0.000
Pt  0.750  0.250  0.500
Ta  0.597  0.125  0.250
Ta  0.153  0.625  0.250
Ta  0.375  0.403  0.750
Ta  0.875  0.847  0.750

## Properties
Total magnetic moment in μB/f.u.: 0.00
Calculated formation energy in meV/atom: 181.9
Energy above the most stable polymorph in this dataset in meV per atom: 546
Space group: I-42d
ρ in g cm⁻³: 15.4

Tb6Pm3Nd2Pb | PBE | relaxed

abc: 6.182 6.182 11.855
angles: 95.01 95.01 120.02
Element x y z (fractional)
Tb  0.918  0.592  0.752
Tb  0.757  0.757  0.249
Tb  0.082  0.408  0.248
Tb  0.592  0.918  0.752
Tb  0.243  0.243  0.751
Tb  0.408  0.082  0.248
Pm  0.168  0.832  0.500
Pm  0.832  0.168  0.500
Pm  0.500  0.500  0.500
Nd  0.334  0.666  0.000
Nd  0.666  0.334  0.000
Pb  0.000  0.000  0.000

## Properties
Total magnetic moment in μB/f.u.: 0.00
Calculated formation energy in meV/atom: -68.2
Space group: C2/m
ρ in g cm⁻³: 8.1

ZrPdRh3 | PBE | relaxed

abc: 4.685 4.685 4.685
angles: 90.00 90.00 90.00
Last column: magnetic moment on the atom in μB.
Element x y z (fractional)
Rh  0.000  0.500  0.000  0.30
Rh  0.000  0.000  0.500  0.61
Rh  0.500  0.000  0.000  0.15
Zr  0.500  0.500  0.500  -0.07
Pd  0.000  0.000  0.000  0.49

## Properties
Total magnetic moment in μB/f.u.: 1.46
Calculated formation energy in meV/atom: 1050.8
Energy above the most stable polymorph in this dataset in meV per atom: 14
Space group: Pm-3m
ρ in g cm⁻³: 8.2

BIr3Au | PBE | relaxed

abc: 4.884 4.884 4.884
angles: 90.00 90.00 90.00
Last column: magnetic moment on the atom in μB.
Element x y z (fractional)
B  0.500  0.500  0.500  -0.05
Ir  0.000  0.500  0.000  0.55
Ir  0.000  0.000  0.500  1.01
Ir  0.500  0.000  0.000  0.39
Au  0.000  0.000  0.000  0.13

## Properties
Total magnetic moment in μB/f.u.: 1.96
Calculated formation energy in meV/atom: 3199.2
Energy above the most stable polymorph in this dataset in meV per atom: 2886
Space group: Pm-3m
ρ in g cm⁻³: 11.2

Ba2TlP2N6 | PBE | relaxed

abc: 5.844 5.844 7.039
angles: 65.47 65.47 60.00
Element x y z (fractional)
Ba  0.788  0.788  0.636
Ba  0.212  0.212  0.364
Tl  0.000  0.000  0.000
P  0.413  0.413  0.760
P  0.587  0.587  0.240
N  0.739  0.739  0.252
N  0.270  0.739  0.252
N  0.739  0.270  0.252
N  0.261  0.730  0.748
N  0.730  0.261  0.748
N  0.261  0.261  0.748

## Properties
Total magnetic moment in μB/f.u.: 0.00
Energy relative to the elements, uncorrected in eV/atom: -0.2159
Space group: R-3m
ρ in g cm⁻³: 5.7

SrNbGa2S | PBE | relaxed

abc: 5.548 5.548 5.178
angles: 90.00 90.00 90.00
Element x y z (fractional)
Sr  0.000  0.000  0.000
Nb  0.000  0.000  0.500
S  0.500  0.500  0.500
Ga  0.000  0.500  0.000
Ga  0.500  0.000  0.000

## Properties
Total magnetic moment in μB/f.u.: 0.00
Energy above the most stable polymorph in this dataset in meV per atom: 400
Energy relative to the elements, uncorrected in eV/atom: 1.7377
Space group: P4/mmm
ρ in g cm⁻³: 3.7

Ti6Ga5Tc | PBE | relaxed

abc: 7.455 4.771 6.873
angles: 86.16 87.56 50.23
Element x y z (fractional)
Ti  0.753  0.090  0.327
Ti  0.247  0.596  0.327
Ti  0.248  0.252  0.000
Ti  0.752  0.748  0.000
Ti  0.753  0.404  0.673
Ti  0.247  0.910  0.673
Ga  0.500  0.159  0.660
Ga  0.000  0.332  0.329
Ga  0.500  0.500  0.000
Ga  0.000  0.668  0.671
Ga  0.500  0.841  0.340
Tc  0.000  0.000  0.000

## Properties
Total magnetic moment in μB/f.u.: 0.00
Calculated formation energy in meV/atom: -466.5
Space group: P2/m
ρ in g cm⁻³: 6.5

Sr3Sb5Se12 | PBE | relaxed

abc: 14.957 14.957 14.957
angles: 109.47 109.47 109.47
Element x y z (fractional)
Sr  0.750  0.375  0.125
Sr  0.875  0.750  0.125
Sr  0.375  0.750  0.625
Sr  0.250  0.125  0.375
Sr  0.875  0.125  0.250
Sr  0.375  0.625  0.250
Sr  0.625  0.375  0.750
Sr  0.125  0.875  0.750
Sr  0.750  0.875  0.625
Sr  0.625  0.250  0.375
Sr  0.125  0.250  0.875
Sr  0.250  0.625  0.875
Sb  0.125  0.375  0.250
Sb  0.000  0.500  0.000
Sb  0.000  0.000  0.000
Sb  0.375  0.250  0.125
Sb  0.500  0.000  0.500
Sb  0.500  0.500  0.000
Sb  0.125  0.750  0.375
Sb  0.750  0.125  0.875
Sb  0.750  0.625  0.375
Sb  0.375  0.125  0.750
Sb  0.625  0.875  0.250
Sb  0.500  0.500  0.500
Sb  0.500  0.000  0.000
Sb  0.000  0.000  0.500
Sb  0.250  0.375  0.625
Sb  0.250  0.875  0.125
Sb  0.000  0.500  0.500
Sb  0.875  0.250  0.625
Sb  0.625  0.750  0.875
Sb  0.875  0.625  0.750
Se  0.711  0.128  0.037
Se  0.326  0.537  0.409
Se  0.963  0.372  0.289
Se  0.537  0.211  0.128
Se  0.583  0.711  0.674
Se  0.963  0.591  0.174
Se  0.326  0.789  0.417
Se  0.091  0.917  0.128
Se  0.591  0.963  0.674
Se  0.711  0.583  0.174
Se  0.789  0.463  0.372
Se  0.826  0.909  0.037
Se  0.128  0.711  0.537
Se  0.372  0.409  0.083
Se  0.083  0.909  0.372
Se  0.417  0.128  0.591
Se  0.083  0.174  0.211
Se  0.463  0.674  0.091
Se  0.826  0.917  0.289
Se  0.128  0.417  0.091
Se  0.372  0.963  0.789
Se  0.591  0.628  0.417
Se  0.909  0.826  0.537
Se  0.789  0.326  0.917
Se  0.409  0.372  0.583
Se  0.091  0.174  0.463
Se  0.211  0.674  0.083
Se  0.174  0.083  0.711
Se  0.628  0.037  0.211
Se  0.872  0.583  0.909
Se  0.537  0.326  0.909
Se  0.583  0.872  0.409
Se  0.917  0.826  0.789
Se  0.917  0.091  0.628
Se  0.872  0.289  0.463
Se  0.174  0.091  0.963
Se  0.628  0.591  0.917
Se  0.409  0.037  0.326
Se  0.289  0.417  0.826
Se  0.211  0.537  0.628
Se  0.909  0.083  0.872
Se  0.674  0.211  0.583
Se  0.463  0.789  0.872
Se  0.037  0.409  0.826
Se  0.417  0.289  0.326
Se  0.037  0.628  0.711
Se  0.674  0.463  0.591
Se  0.289  0.872  0.963

## Properties
Total magnetic moment in μB/f.u.: 0.00
Energy relative to the elements, uncorrected in eV/atom: -0.6944
Space group: Ia-3d
ρ in g cm⁻³: 4.7

Ta3Nb2Pd2 | PBE | relaxed

abc: 3.298 7.002 11.329
angles: 90.45 81.63 76.38
Element x y z (fractional)
Ta  0.141  0.825  0.893
Ta  0.859  0.175  0.107
Ta  0.188  0.513  0.110
Ta  0.812  0.487  0.890
Ta  0.349  0.811  0.491
Ta  0.651  0.189  0.509
Nb  0.247  0.192  0.313
Nb  0.753  0.808  0.687
Nb  0.469  0.163  0.900
Nb  0.531  0.837  0.100
Pd  0.080  0.141  0.698
Pd  0.920  0.859  0.302
Pd  0.415  0.484  0.686
Pd  0.585  0.516  0.314

## Properties
Total magnetic moment in μB/f.u.: 0.00
Calculated formation energy in meV/atom: -35.0
Space group: C2/m
ρ in g cm⁻³: 12.4

AlMoP3 | PBE | relaxed

abc: 4.710 4.710 4.710
angles: 90.00 90.00 90.00
Element x y z (fractional)
P  0.000  0.500  0.000
P  0.000  0.000  0.500
P  0.500  0.000  0.000
Mo  0.000  0.000  0.000
Al  0.500  0.500  0.500

## Properties
Total magnetic moment in μB/f.u.: 0.00
Calculated formation energy in meV/atom: 524.2
Energy above the most stable polymorph in this dataset in meV per atom: 0
Space group: Pm-3m
ρ in g cm⁻³: 3.4